! PBE+U VOs2F, optimized geometry; values from VASP
&SYSTEM
  ibrav = 0, nat = 8, ntyp = 3
/
ATOMIC_SPECIES
V 50.94 V.upf
Os 190.23 Os.upf
F 19.00 F.upf
CELL_PARAMETERS angstrom
-3.597 3.597 2.343
3.597 -3.597 2.343
3.597 3.597 -2.343
ATOMIC_POSITIONS crystal
V 0.000 0.000 0.000
V 0.750 0.250 0.500
Os 0.156 0.125 0.531
Os 0.375 0.844 0.969
Os 0.594 0.625 0.469
Os 0.875 0.406 0.031
F 0.250 0.750 0.500
F 0.500 0.500 0.000
! - calculated total energy (hartree per atom) = -0.259
! - energy above the lowest structure with this stoichiometry (meV/atom) = 173